Below is a relaxed structure of Ba3FeSb2O8, with properties calculated at the GGA+U level.

Lattice parameters (Å, degrees): 5.9930 5.9930 7.8855 90.00 90.00 120.00
With the nearest neighbours (Å) after each atom.
Atoms (fractional coordinates):
Ba1 0.0000 0.0000 0.0000  12 O 3.14-3.48
Ba2 0.3333 0.6667 0.6367  1 O 2.49
Ba3 0.6667 0.3333 0.3633  1 O 2.49
Fe1 0.0000 0.0000 0.5000  6 O 2.09
Sb1 0.3333 0.6667 0.2087  4 O 2.02-2.07
Sb2 0.6667 0.3333 0.7913  4 O 2.02-2.07
O1 0.8402 0.1598 0.6612  1 Sb 2.07, 1 Fe 2.09
O2 0.6805 0.8402 0.3388  1 Sb 2.07, 1 Fe 2.09
O3 0.1598 0.3195 0.3388  1 Sb 2.07, 1 Fe 2.09
O4 0.3333 0.6667 0.9528  1 Sb 2.02
O5 0.1598 0.8402 0.3388  1 Sb 2.07, 1 Fe 2.09
O6 0.3195 0.1598 0.6612  1 Sb 2.07, 1 Fe 2.09
O7 0.6667 0.3333 0.0472  1 Sb 2.02
O8 0.8402 0.6805 0.6612  1 Sb 2.07, 1 Fe 2.09

Results
ρ in Mg/m³: 5.68
SG: P-3m1, No. 164
Final energy in eV per cell: -84.733